Computed, not measured: Tm5CoAg4 after structural relaxation at the PBE-GGA level of DFT.

As for the formation energy: -0.31 eV per atom. For the total DFT energy (no corrections), the calculation gives -4.3963 eV per atom.

It has space group P4/mmm (No. 123), with a = 3.494 Å, b = 3.494 Å, c = 18.041 Å, α = 90.00°, β = 90.00° and γ = 90.00°. Symmetry generates all atoms from Tm at (0.000, 0.000, 0.000), Tm at (0.000, 0.000, 0.205), Tm at (0.000, 0.000, 0.412), Co at (0.500, 0.500, 0.500), Ag at (0.500, 0.500, 0.102) and Ag at (0.500, 0.500, 0.307).